# 1
CaTc2Rh | GGA-PBE | optimized geometry

Raw total energy ... -7.30 eV per atom
SG ... Immm

a b c (Å): 5.919 5.919 5.919
angles (deg): 152.39 134.48 54.07
Fractional positions:
Ca: 0.000 0.000 0.000
Tc: 0.282 0.782 0.500
Tc: 0.718 0.218 0.500
Rh: 0.500 0.500 0.000



# 2
ZrPI2 | GGA-PBE | optimized geometry

Raw total energy ... -4.52 eV per atom
SG ... I-42d
Uncorrected formation energy ... -25.0 kJ per mole of atoms

a b c (Å): 7.989 7.989 7.989
angles (deg): 95.72 95.72 143.18
Fractional positions:
Zr: 0.000 0.000 0.000
Zr: 0.750 0.250 0.500
P: 0.250 0.750 0.500
P: 0.500 0.500 0.000
I: 0.375 0.221 0.346
I: 0.779 0.125 0.154
I: 0.875 0.029 0.654
I: 0.971 0.625 0.846